P) This record from the Alexandria database describes a geometry-optimized HgTe2Br2 structure. The functional is PBE.

Cell lengths 10.992, 10.992, 10.992 Å; angles 158.60, 158.60, 30.45 degrees
Atoms (fractional coordinates):
Hg (0.000, 0.000, 0.000)
Te (0.250, 0.750, 0.500)
Te (0.750, 0.250, 0.500)
Br (0.420, 0.420, 0.000)
Br (0.580, 0.580, 0.000)

Magnetic moment = 0.0 μB/cell

***

Q) This record from the Alexandria database describes a geometry-optimized HgTe2Br2 structure. The functional is PBE.

Cell lengths 7.813, 7.813, 5.097 Å; angles 90.00, 90.00, 90.00 degrees
Atoms (fractional coordinates):
Hg (0.000, 0.000, 0.000)
Hg (0.500, 0.500, 0.000)
Te (0.126, 0.374, 0.000)
Te (0.374, 0.874, 0.000)
Te (0.626, 0.126, 0.000)
Te (0.874, 0.626, 0.000)
Br (0.211, 0.711, 0.500)
Br (0.289, 0.211, 0.500)
Br (0.711, 0.789, 0.500)
Br (0.789, 0.289, 0.500)

Magnetic moment = 0.0 μB/cell

***

Verdict on stability: P) comes out at the bottom.

***

P) This record from the Alexandria database describes a geometry-optimized HgTeBr structure. The functional is PBE.

Cell lengths 3.902, 3.902, 7.444 Å; angles 90.00, 90.00, 120.00 degrees
Atoms (fractional coordinates):
Hg (0.000, 0.000, 0.000)
Te (0.333, 0.667, 0.262)
Br (0.667, 0.333, 0.758)

Magnetic moment = 0.0 μB/cell

***

Q) This record from the Alexandria database describes a geometry-optimized HgTeBr structure. The functional is PBE.

Cell lengths 4.200, 3.560, 14.124 Å; angles 90.00, 90.05, 90.00 degrees
Atoms (fractional coordinates):
Hg (0.000, 0.000, 0.000)
Hg (0.032, 0.000, 0.500)
Te (0.506, 0.000, 0.133)
Te (0.527, 0.000, 0.633)
Br (0.009, 0.500, 0.355)
Br (0.022, 0.500, 0.855)

Magnetic moment = 0.0 μB/cell

***

Verdict on stability: P) comes out at the bottom.

***

P) This record from the Alexandria database describes a geometry-optimized HgTeBr structure. The functional is PBE.

Cell lengths 5.163, 5.163, 5.163 Å; angles 60.00, 60.00, 60.00 degrees
Atoms (fractional coordinates):
Hg (0.000, 0.000, 0.000)
Te (0.250, 0.250, 0.250)
Br (0.500, 0.500, 0.500)

Magnetic moment = 0.0 μB/cell

***

Q) This record from the Alexandria database describes a geometry-optimized HgTeBr structure. The functional is PBE.

Cell lengths 7.515, 7.515, 7.515 Å; angles 152.81, 152.81, 38.83 degrees
Atoms (fractional coordinates):
Hg (0.000, 0.000, 0.000)
Te (0.649, 0.649, 0.000)
Br (0.379, 0.379, 0.000)

Magnetic moment = 0.0 μB/cell

***

Verdict on stability: Q) comes out at the bottom.

***

P) This record from the Alexandria database describes a geometry-optimized HgTeBr structure. The functional is PBE.

Cell lengths 6.497, 6.497, 9.629 Å; angles 118.98, 118.98, 42.41 degrees
Atoms (fractional coordinates):
Hg (0.122, 0.122, 0.044)
Hg (0.878, 0.878, 0.956)
Te (0.206, 0.206, 0.532)
Te (0.794, 0.794, 0.468)
Br (0.372, 0.372, 0.186)
Br (0.628, 0.628, 0.814)

Magnetic moment = 0.0 μB/cell

***

Q) This record from the Alexandria database describes a geometry-optimized HgTeBr structure. The functional is PBE.

Cell lengths 10.371, 10.371, 4.248 Å; angles 90.00, 90.00, 90.00 degrees
Atoms (fractional coordinates):
Hg (0.116, 0.656, 0.000)
Hg (0.344, 0.116, 0.500)
Hg (0.656, 0.884, 0.500)
Hg (0.884, 0.344, 0.000)
Te (0.071, 0.840, 0.500)
Te (0.160, 0.071, 0.000)
Te (0.840, 0.929, 0.000)
Te (0.929, 0.160, 0.500)
Br (0.185, 0.416, 0.000)
Br (0.416, 0.815, 0.500)
Br (0.584, 0.185, 0.500)
Br (0.815, 0.584, 0.000)

Magnetic moment = 0.0 μB/cell

***

Verdict on stability: Q) comes out at the bottom.

***

P) This record from the Alexandria database describes a geometry-optimized HgTeBr structure. The functional is PBE.

Cell lengths 7.370, 6.780, 4.129 Å; angles 81.06, 65.34, 33.60 degrees
Atoms (fractional coordinates):
Hg (0.000, 0.000, 0.000)
Te (0.353, 0.353, 0.647)
Br (0.653, 0.653, 0.347)

Magnetic moment = 0.0 μB/cell

***

Q) This record from the Alexandria database describes a geometry-optimized HgTeBr structure. The functional is PBE.

Cell lengths 6.287, 6.287, 6.287 Å; angles 148.17, 94.77, 93.85 degrees
Atoms (fractional coordinates):
Hg (0.000, 0.000, 0.000)
Te (0.693, 0.693, 0.000)
Br (0.290, 0.290, 0.000)

Magnetic moment = 0.3 μB/cell

***

Verdict on stability: P) comes out at the bottom.

***

P) This record from the Alexandria database describes a geometry-optimized Hg3Te2Br2 structure. The functional is PBE.

Cell lengths 8.562, 8.562, 8.562 Å; angles 109.47, 109.47, 109.47 degrees
Atoms (fractional coordinates):
Hg (0.187, 0.750, 0.937)
Hg (0.250, 0.563, 0.313)
Hg (0.313, 0.250, 0.563)
Hg (0.563, 0.313, 0.250)
Hg (0.750, 0.937, 0.187)
Hg (0.937, 0.187, 0.750)
Te (0.000, 0.954, 0.500)
Te (0.500, 0.000, 0.954)
Te (0.546, 0.546, 0.546)
Te (0.954, 0.500, 0.000)
Br (0.000, 0.489, 0.500)
Br (0.011, 0.011, 0.011)
Br (0.489, 0.500, 0.000)
Br (0.500, 0.000, 0.489)

Magnetic moment = 0.0 μB/cell

***

Q) This record from the Alexandria database describes a geometry-optimized Hg3Te2Br2 structure. The functional is PBE.

Cell lengths 7.502, 7.948, 11.536 Å; angles 90.00, 128.70, 90.00 degrees
Atoms (fractional coordinates):
Hg (0.000, 0.000, 0.000)
Hg (0.000, 0.500, 0.500)
Hg (0.009, 0.057, 0.676)
Hg (0.009, 0.443, 0.176)
Hg (0.991, 0.557, 0.824)
Hg (0.991, 0.943, 0.324)
Te (0.244, 0.645, 0.426)
Te (0.244, 0.855, 0.926)
Te (0.756, 0.145, 0.074)
Te (0.756, 0.355, 0.574)
Br (0.297, 0.131, 0.594)
Br (0.297, 0.369, 0.094)
Br (0.703, 0.631, 0.906)
Br (0.703, 0.869, 0.406)

Magnetic moment = 0.0 μB/cell

***

R) This record from the Alexandria database describes a geometry-optimized Hg3Te2Br2 structure. The functional is PBE.

Cell lengths 5.179, 7.208, 7.413 Å; angles 102.16, 90.54, 93.12 degrees
Atoms (fractional coordinates):
Hg (0.000, 0.000, 0.000)
Hg (0.023, 0.455, 0.748)
Hg (0.977, 0.545, 0.252)
Te (0.317, 0.722, 0.032)
Te (0.683, 0.278, 0.968)
Br (0.227, 0.278, 0.431)
Br (0.773, 0.722, 0.569)

Magnetic moment = 0.0 μB/cell

***

Verdict on stability: R) comes out at the bottom.

***

P) This record from the Alexandria database describes a geometry-optimized HgTe3Br structure. The functional is PBE.

Cell lengths 5.633, 5.633, 5.633 Å; angles 90.00, 90.00, 90.00 degrees
Atoms (fractional coordinates):
Hg (0.000, 0.000, 0.000)
Te (0.000, 0.000, 0.500)
Te (0.000, 0.500, 0.000)
Te (0.500, 0.000, 0.000)
Br (0.500, 0.500, 0.500)

Magnetic moment = 0.0 μB/cell

***

Q) This record from the Alexandria database describes a geometry-optimized HgTe3Br structure. The functional is PBE.

Cell lengths 5.650, 5.650, 5.650 Å; angles 90.00, 90.00, 90.00 degrees
Atoms (fractional coordinates):
Hg (0.000, 0.000, 0.000)
Te (0.000, 0.500, 0.500)
Te (0.500, 0.000, 0.500)
Te (0.500, 0.500, 0.000)
Br (0.500, 0.500, 0.500)

Magnetic moment = 0.0 μB/cell

***

Verdict on stability: Q) comes out at the bottom.

***

P) This record from the Alexandria database describes a geometry-optimized HgTeBr6 structure. The functional is PBE.

Cell lengths 7.349, 7.349, 7.024 Å; angles 99.85, 99.85, 122.82 degrees
Atoms (fractional coordinates):
Hg (0.000, 0.000, 0.000)
Te (0.500, 0.500, 0.500)
Br (0.101, 0.402, 0.251)
Br (0.267, 0.267, 0.733)
Br (0.402, 0.101, 0.251)
Br (0.598, 0.899, 0.749)
Br (0.733, 0.733, 0.267)
Br (0.899, 0.598, 0.749)

Magnetic moment = 0.0 μB/cell

***

Q) This record from the Alexandria database describes a geometry-optimized HgTeBr6 structure. The functional is PBE.

Cell lengths 7.507, 7.507, 7.507 Å; angles 55.64, 55.64, 55.64 degrees
Atoms (fractional coordinates):
Hg (0.000, 0.000, 0.000)
Te (0.500, 0.500, 0.500)
Br (0.094, 0.741, 0.419)
Br (0.259, 0.581, 0.906)
Br (0.419, 0.094, 0.741)
Br (0.581, 0.906, 0.259)
Br (0.741, 0.419, 0.094)
Br (0.906, 0.259, 0.581)

Magnetic moment = 0.0 μB/cell

***

Verdict on stability: Q) comes out at the bottom.